[1]
First-principles (PBE) data for a geometry-optimized SrCoW2 structure, as listed in Alexandria.

Cell lengths 2.6855, 5.1144, 5.3910 Å; angles 90.00, 90.00, 90.00 degrees
Positions (direct):
Sr: 0.0000 0.0000 0.0000
Co: 0.0000 0.0000 0.5000
W: 0.5000 0.5000 0.2572
W: 0.5000 0.5000 0.7428

Properties
- N(E_F) (states/eV per cell) = 4.22
- energy above the lowest structure with this stoichiometry (eV per atom) = 0.5992
- calculated formation energy (eV per atom) = 1.26

---

[2]
First-principles (PBE) data for a geometry-optimized ScSnI2 structure, as listed in Alexandria.

Cell lengths 5.4348, 5.4348, 5.4348 Å; angles 60.00, 60.00, 60.00 degrees
Positions (direct):
Sc: 0.0000 0.0000 0.0000
Sn: 0.5000 0.5000 0.5000
I: 0.2500 0.2500 0.2500
I: 0.7500 0.7500 0.7500

Properties
- N(E_F) (states/eV per cell) = 3.52
- energy above the lowest structure with this stoichiometry (eV per atom) = 0.3865
- ΔE_f (raw) (meV per atom) = -149

---

[3]
First-principles (PBE) data for a geometry-optimized Ca2LaThSb4 structure, as listed in Alexandria.

Cell lengths 7.7708, 4.6011, 7.9926 Å; angles 90.00, 109.96, 90.00 degrees
Positions (direct):
Ca: 0.0000 0.0000 0.0000
Ca: 0.0000 0.5000 0.5000
La: 0.5000 0.0000 0.5000
Th: 0.5000 0.5000 0.0000
Sb: 0.2515 0.5000 0.2455
Sb: 0.2539 0.0000 0.7559
Sb: 0.7461 0.0000 0.2441
Sb: 0.7485 0.5000 0.7545

Properties
- N(E_F) (states/eV per cell) = 6.94
- ΔE_f (raw) (meV per atom) = -985